No. 1
VASP calculation (PBE) on a relaxed structure of LaCu2Mo.

calculated volume	18.2	A^3/atom
electronic total energy	-22.696	eV/cell
SG	P2/m

```
LaCu2Mo
1.0
2.9906 0.0000 0.0000
0.0000 3.6535 0.0000
-0.0195 0.0000 6.6661
La Cu Mo
1 2 1
Direct
0.0000 0.0000 0.0000
0.4998 0.5000 0.3123
0.5002 0.5000 0.6877
0.0000 0.0000 0.5000
```



No. 2
VASP calculation (PBE) on a relaxed structure of LaCu4Mo.

calculated volume	16.0	A^3/atom
electronic total energy	-30.717	eV/cell
SG	F-43m

```
LaCu4Mo
1.0
0.0000 3.6319 3.6319
3.6319 0.0000 3.6319
3.6319 3.6319 0.0000
La Cu Mo
1 4 1
Direct
0.0000 0.0000 0.0000
0.3767 0.3767 0.3767
0.3767 0.3767 0.8699
0.3767 0.8699 0.3767
0.8699 0.3767 0.3767
0.7500 0.7500 0.7500
```



No. 3
VASP calculation (PBE) on a relaxed structure of La2CuMo.

calculated volume	23.8	A^3/atom
electronic total energy	-23.625	eV/cell
SG	Imm2

```
La2CuMo
1.0
-1.8199 2.4695 5.2974
1.8199 -2.4695 5.2974
1.8199 2.4695 -5.2974
La Cu Mo
2 1 1
Direct
0.0000 0.0000 0.0000
0.7066 0.2066 0.5000
0.2720 0.7720 0.5000
0.4405 0.4405 0.0000
```



No. 4
VASP calculation (PBE) on a relaxed structure of LaCu3Mo.

calculated volume	21.3	A^3/atom
electronic total energy	-25.011	eV/cell
SG	Pm-3m

```
LaCu3Mo
1.0
4.7388 0.0000 0.0000
0.0000 4.7388 0.0000
0.0000 0.0000 4.7388
La Cu Mo
1 3 1
Direct
0.0000 0.0000 0.0000
0.0000 0.5000 0.5000
0.5000 0.0000 0.5000
0.5000 0.5000 0.0000
0.5000 0.5000 0.5000
```



No. 5
VASP calculation (PBE) on a relaxed structure of LaCu2Mo.

calculated volume	17.6	A^3/atom
electronic total energy	-22.313	eV/cell
SG	Cm

```
LaCu2Mo
1.0
5.2409 -1.4719 0.0000
5.2409 1.4719 0.0000
-2.1544 0.0000 4.5732
La Cu Mo
1 2 1
Direct
0.0000 0.0000 0.0000
0.2298 0.2298 0.8124
0.5223 0.5223 0.5064
0.7769 0.7769 0.3779
```



No. 6
VASP calculation (PBE) on a relaxed structure of LaCuMo2.

calculated volume	20.6	A^3/atom
electronic total energy	-28.599	eV/cell
SG	P2/m

```
LaCuMo2
1.0
3.7040 0.0000 0.0000
0.0000 4.8372 0.0000
-1.0850 0.0000 4.5940
La Cu Mo
1 1 2
Direct
0.0000 0.0000 0.0000
0.5000 0.0000 0.5000
0.3177 0.5000 0.6802
0.6823 0.5000 0.3198
```



No. 7
VASP calculation (PBE) on a relaxed structure of La2CuMo.

calculated volume	25.4	A^3/atom
electronic total energy	-22.901	eV/cell
SG	R-3m

```
La2CuMo
1.0
1.8346 1.0592 8.7096
-1.8346 1.0592 8.7096
0.0000 -2.1184 8.7096
La Cu Mo
2 1 1
Direct
0.2478 0.2478 0.2478
0.7522 0.7522 0.7522
0.0000 0.0000 0.0000
0.5000 0.5000 0.5000
```



No. 8
VASP calculation (PBE) on a relaxed structure of LaCuMo.

calculated volume	20.1	A^3/atom
electronic total energy	-18.119	eV/cell
SG	P-6m2

```
LaCuMo
1.0
4.8053 0.0000 0.0000
-2.4027 4.1615 0.0000
0.0000 0.0000 3.0145
La Cu Mo
1 1 1
Direct
0.0000 0.0000 0.0000
0.3333 0.6667 0.5000
0.6667 0.3333 0.5000
```



Q: Which N(E_F) values were calculated for the entries above? A: 4.7 6.8 5.7 5.9 3.6 3.4 3.7 3.3, in states/eV/f.u..